Material: CeHgPd
Method: DFT, PBE
State: relaxed

Geometry as CIF:
```
data_CeHgPd
_chemical_formula_sum 'Ce2 Hg2 Pd2'
_cell_length_a 5.005
_cell_length_b 4.977
_cell_length_c 5.913
_cell_angle_alpha 90.00
_cell_angle_beta 114.90
_cell_angle_gamma 90.00
_space_group_name_H-M_alt 'P 1 21/m 1'
_space_group_IT_number 11
loop_
_space_group_symop_operation_xyz
'x,y,z'
'-x,-y,-z'
'-x,y+1/2,-z'
'x,-y+1/2,z'
loop_
_atom_site_label
_atom_site_type_symbol
_atom_site_fract_x
_atom_site_fract_y
_atom_site_fract_z
Ce1 Ce 0.130 0.250 0.201
Hg1 Hg 0.430 0.250 0.809
Pd1 Pd 0.193 0.750 0.458
```

**Energy of formation**: -145 kJ/mol of formula units
**Crystal system**: monoclinic
**Total moment**: 1.31 μB/cell

***

Material: TbThCu2
Method: DFT, PBE
State: relaxed

Geometry as CIF:
```
data_TbThCu2
_chemical_formula_sum 'Tb1 Th1 Cu2'
_cell_length_a 3.482
_cell_length_b 3.482
_cell_length_c 7.248
_cell_angle_alpha 90.00
_cell_angle_beta 90.00
_cell_angle_gamma 90.00
_space_group_name_H-M_alt 'P 4/m m m'
_space_group_IT_number 123
_space_group_name_Hall '-P 4 2'
loop_
_atom_site_label
_atom_site_type_symbol
_atom_site_fract_x
_atom_site_fract_y
_atom_site_fract_z
Tb1 Tb 0.000 0.000 0.000
Th1 Th 0.000 0.000 0.500
Cu1 Cu 0.500 0.500 0.234
```

**Energy of formation**: -53 kJ/mol of formula units
**Crystal system**: tetragonal
**Total moment**: 0.00 μB/cell

***

Material: Pm3SiRh
Method: DFT, PBE
State: relaxed

Geometry as CIF:
```
data_Pm3SiRh
_chemical_formula_sum 'Pm12 Si4 Rh4'
_cell_length_a 9.732
_cell_length_b 5.982
_cell_length_c 10.690
_cell_angle_alpha 90.00
_cell_angle_beta 121.11
_cell_angle_gamma 90.00
_space_group_name_H-M_alt 'P 1 21/c 1'
_space_group_IT_number 14
loop_
_space_group_symop_operation_xyz
'x,y,z'
'-x,-y,-z'
'-x,y+1/2,-z+1/2'
'x,-y+1/2,z+1/2'
loop_
_atom_site_label
_atom_site_type_symbol
_atom_site_fract_x
_atom_site_fract_y
_atom_site_fract_z
Pm1 Pm 0.112 0.096 0.416
Pm2 Pm 0.295 0.540 0.346
Pm3 Pm 0.342 0.009 0.195
Si1 Si 0.016 0.614 0.414
Rh1 Rh 0.433 0.181 0.528
```

**Crystal system**: monoclinic
**Formation energy (no corrections)**: -2.53 eV/f.u.
**Total moment**: 0.00 μB/cell

***

Material: Tb3Nd2Er6Pb
Method: DFT, PBE
State: relaxed

Geometry as CIF:
```
data_Tb3Nd2Er6Pb
_chemical_formula_sum 'Tb6 Nd4 Er12 Pb2'
_cell_length_a 6.087
_cell_length_b 10.547
_cell_length_c 11.709
_cell_angle_alpha 90.00
_cell_angle_beta 100.03
_cell_angle_gamma 90.00
_space_group_name_H-M_alt 'C 1 2/m 1'
_space_group_IT_number 12
loop_
_space_group_symop_operation_xyz
'x,y,z'
'-x,-y,-z'
'-x,y,-z'
'x,-y,z'
'x+1/2,y+1/2,z'
'-x+1/2,-y+1/2,-z'
'-x+1/2,y+1/2,-z'
'x+1/2,-y+1/2,z'
loop_
_atom_site_label
_atom_site_type_symbol
_atom_site_fract_x
_atom_site_fract_y
_atom_site_fract_z
Tb1 Tb 0.000 0.000 0.000
Tb2 Tb 0.000 0.333 0.000
Nd1 Nd 0.000 0.166 0.500
Er1 Er 0.244 0.500 0.249
Er2 Er 0.246 0.336 0.750
Pb1 Pb 0.000 0.500 0.500
```

**Energy of formation**: -78 kJ/mol of formula units
**Crystal system**: monoclinic
**Total moment**: 0.00 μB/cell

***

Material: Na8Tl2Bi
Method: DFT, PBE
State: relaxed

Geometry as CIF:
```
data_Na8Tl2Bi
_chemical_formula_sum 'Na16 Tl4 Bi2'
_cell_length_a 17.919
_cell_length_b 5.131
_cell_length_c 7.244
_cell_angle_alpha 90.00
_cell_angle_beta 98.59
_cell_angle_gamma 90.00
_space_group_name_H-M_alt 'C 1 2/m 1'
_space_group_IT_number 12
loop_
_space_group_symop_operation_xyz
'x,y,z'
'-x,-y,-z'
'-x,y,-z'
'x,-y,z'
'x+1/2,y+1/2,z'
'-x+1/2,-y+1/2,-z'
'-x+1/2,y+1/2,-z'
'x+1/2,-y+1/2,z'
loop_
_atom_site_label
_atom_site_type_symbol
_atom_site_fract_x
_atom_site_fract_y
_atom_site_fract_z
Na1 Na 0.044 0.000 0.249
Na2 Na 0.098 0.500 0.941
Na3 Na 0.138 0.000 0.687
Na4 Na 0.179 0.500 0.410
Tl1 Tl 0.221 0.000 0.130
Bi1 Bi 0.000 0.500 0.500
```

**Energy of formation**: -170 kJ/mol of formula units
**Crystal system**: monoclinic
**Total moment**: 0.00 μB/cell

***

Material: CaTb2PaSb4
Method: DFT, PBE
State: relaxed

Geometry as CIF:
```
data_CaTb2PaSb4
_chemical_formula_sum 'Ca1 Tb2 Pa1 Sb4'
_cell_length_a 7.642
_cell_length_b 4.415
_cell_length_c 7.643
_cell_angle_alpha 90.00
_cell_angle_beta 109.08
_cell_angle_gamma 90.00
_space_group_name_H-M_alt 'P 1 2/m 1'
_space_group_IT_number 10
loop_
_space_group_symop_operation_xyz
'x,y,z'
'-x,-y,-z'
'-x,y,-z'
'x,-y,z'
loop_
_atom_site_label
_atom_site_type_symbol
_atom_site_fract_x
_atom_site_fract_y
_atom_site_fract_z
Ca1 Ca 0.000 0.000 0.000
Tb1 Tb 0.500 0.000 0.500
Tb2 Tb 0.500 0.500 0.000
Pa1 Pa 0.000 0.500 0.500
Sb1 Sb 0.249 0.000 0.746
Sb2 Sb 0.250 0.500 0.258
```

**Crystal system**: monoclinic
**Formation energy (no corrections)**: -7.45 eV/f.u.
**Total moment**: 0.50 μB/cell

***

Material: HoPI
Method: DFT, PBE
State: relaxed

Geometry as CIF:
```
data_HoPI
_chemical_formula_sum 'Ho2 P2 I2'
_cell_length_a 3.977
_cell_length_b 4.981
_cell_length_c 11.525
_cell_angle_alpha 77.67
_cell_angle_beta 80.92
_cell_angle_gamma 67.64
_space_group_name_H-M_alt 'P -1'
_space_group_IT_number 2
loop_
_space_group_symop_operation_xyz
'x,y,z'
'-x,-y,-z'
loop_
_atom_site_label
_atom_site_type_symbol
_atom_site_fract_x
_atom_site_fract_y
_atom_site_fract_z
Ho1 Ho 0.172 0.299 0.373
P1 P 0.485 0.689 0.428
I1 I 0.204 0.795 0.820
```

**Crystal system**: triclinic
**Formation energy (no corrections)**: -3.57 eV/f.u.
**Total moment**: 0.00 μB/cell